A relaxed RbTlHg11 crystal. Source: Alexandria via LeMat-Bulk, functional PBE-GGA.

a b c (Å): 6.5495 8.7445 8.2602
angles (deg): 80.92 66.64 66.53
Fractional coordinates of all 13 atoms:
Rb 0.0000 0.0000 0.0000
Hg 0.0000 0.5000 0.0000
Hg 0.2762 0.2214 0.2266
Hg 0.4972 0.7786 0.2266
Hg 0.0064 0.3481 0.6421
Hg 0.9936 0.6519 0.3579
Hg 0.5000 0.0000 0.5000
Hg 0.7238 0.7786 0.7734
Hg 0.5028 0.2214 0.7734
Hg 0.0000 0.0000 0.5000
Hg 0.3515 0.6519 0.6421
Hg 0.6485 0.3481 0.3579
Tl 0.5000 0.5000 0.0000

E ... -0.59 eV per atom
Formation energy from the elements ... -0.07 eV per atom